The following is a DFT calculation (PBE) of a relaxed TaGeAs crystal.

Uncorrected energy: -19.6 eV/cell
Spin magnetization: 0.002 μB/f.u.
SG: F-43m

abc: 4.3899 4.3899 4.3899
angles: 60.00 60.00 60.00
With the nearest neighbours (Å) after each atom.
Fractional positions:
Ta (0.0000, 0.0000, 0.0000)  4 As 2.69
Ge (0.5000, 0.5000, 0.5000)  4 As 2.69
As (0.7500, 0.7500, 0.7500)  4 Ge 2.69, 4 Ta 2.69